Entry 1:
Density functional theory data (PBE-GGA) for CoCu2Ir after structural relaxation.

```
data_CoCu2Ir
_chemical_formula_sum 'Co1 Cu2 Ir1'
_space_group_name_H-M_alt 'P 4/m m m'
_space_group_IT_number 123
_space_group_name_Hall '-P 4 2'
_cell_length_a 2.623
_cell_length_b 2.623
_cell_length_c 7.334
_cell_angle_alpha 90.00
_cell_angle_beta 90.00
_cell_angle_gamma 90.00
loop_
_atom_site_label
_atom_site_type_symbol
_atom_site_fract_x
_atom_site_fract_y
_atom_site_fract_z
Co1 Co 0.000 0.000 0.000
Cu1 Cu 0.500 0.500 0.239
Ir1 Ir 0.000 0.000 0.500
```

Computed properties:
DFT formation energy ... 22.97 kJ per mole of atoms
Mass density ... 12.45 Mg/m³
Total magnetization ... 0.562 μB per atom

---

Entry 2:
Density functional theory data (PBE-GGA) for Co2CuIr2 after structural relaxation.

```
data_Co2CuIr2
_chemical_formula_sum 'Co4 Cu2 Ir4'
_space_group_name_H-M_alt 'P 4/m b m'
_space_group_IT_number 127
_space_group_name_Hall '-P 4 2ab'
_cell_length_a 7.138
_cell_length_b 7.138
_cell_length_c 2.647
_cell_angle_alpha 90.00
_cell_angle_beta 90.00
_cell_angle_gamma 90.00
loop_
_atom_site_label
_atom_site_type_symbol
_atom_site_fract_x
_atom_site_fract_y
_atom_site_fract_z
Co1 Co 0.122 0.378 0.000
Cu1 Cu 0.000 0.000 0.000
Ir1 Ir 0.173 0.673 0.500
```

Computed properties:
DFT formation energy ... 26.17 kJ per mole of atoms
Mass density ... 13.94 Mg/m³
Total magnetization ... 0.735 μB per atom

---

Entry 3:
Density functional theory data (PBE-GGA) for Co2CuIr after structural relaxation.

```
data_Co2CuIr
_chemical_formula_sum 'Co4 Cu2 Ir2'
_space_group_name_H-M_alt 'C 1 2/m 1'
_space_group_IT_number 12
_cell_length_a 8.616
_cell_length_b 2.637
_cell_length_c 4.424
_cell_angle_alpha 90.00
_cell_angle_beta 100.77
_cell_angle_gamma 90.00
loop_
_space_group_symop_operation_xyz
'x,y,z'
'-x,-y,-z'
'-x,y,-z'
'x,-y,z'
'x+1/2,y+1/2,z'
'-x+1/2,-y+1/2,-z'
'-x+1/2,y+1/2,-z'
'x+1/2,-y+1/2,z'
loop_
_atom_site_label
_atom_site_type_symbol
_atom_site_fract_x
_atom_site_fract_y
_atom_site_fract_z
Co1 Co 0.247 0.000 0.248
Cu1 Cu 0.000 0.000 0.500
Ir1 Ir 0.000 0.500 0.000
```

Computed properties:
DFT formation energy ... 13.13 kJ per mole of atoms
Mass density ... 12.56 Mg/m³
Total magnetization ... 0.983 μB per atom

---

Entry 4:
Density functional theory data (PBE-GGA) for Co2CuIr after structural relaxation.

```
data_Co2CuIr
_chemical_formula_sum 'Co2 Cu1 Ir1'
_space_group_name_H-M_alt 'P 4 m m'
_space_group_IT_number 99
_cell_length_a 2.912
_cell_length_b 2.912
_cell_length_c 5.791
_cell_angle_alpha 90.00
_cell_angle_beta 90.00
_cell_angle_gamma 90.00
loop_
_space_group_symop_operation_xyz
'x,y,z'
'-y,x,z'
'-x,-y,z'
'y,-x,z'
'-x,y,z'
'y,x,z'
'x,-y,z'
'-y,-x,z'
loop_
_atom_site_label
_atom_site_type_symbol
_atom_site_fract_x
_atom_site_fract_y
_atom_site_fract_z
Co1 Co 0.000 0.000 0.000
Co2 Co 0.500 0.500 0.215
Cu1 Cu 0.000 0.000 0.454
Ir1 Ir 0.500 0.500 0.728
```

Computed properties:
DFT formation energy ... 17.28 kJ per mole of atoms
Mass density ... 12.64 Mg/m³
Total magnetization ... 1.096 μB per atom

---

Entry 5:
Density functional theory data (PBE-GGA) for Co2CuIr after structural relaxation.

```
data_Co2CuIr
_chemical_formula_sum 'Co4 Cu2 Ir2'
_space_group_name_H-M_alt 'C m m m'
_space_group_IT_number 65
_space_group_name_Hall '-C 2 2'
_cell_length_a 2.706
_cell_length_b 4.393
_cell_length_c 8.596
_cell_angle_alpha 90.00
_cell_angle_beta 90.00
_cell_angle_gamma 90.00
loop_
_atom_site_label
_atom_site_type_symbol
_atom_site_fract_x
_atom_site_fract_y
_atom_site_fract_z
Co1 Co 0.000 0.000 0.245
Cu1 Cu 0.000 0.500 0.000
Ir1 Ir 0.000 0.500 0.500
```

Computed properties:
DFT formation energy ... 24.94 kJ per mole of atoms
Mass density ... 12.14 Mg/m³
Total magnetization ... 1.064 μB per atom

---

Entry 6:
Density functional theory data (PBE-GGA) for CoCu4Ir after structural relaxation.

```
data_CoCu4Ir
_chemical_formula_sum 'Co4 Cu16 Ir4'
_space_group_name_H-M_alt 'F -4 3 m'
_space_group_IT_number 216
_space_group_name_Hall 'F -4 2 3'
_cell_length_a 6.675
_cell_length_b 6.675
_cell_length_c 6.675
_cell_angle_alpha 90.00
_cell_angle_beta 90.00
_cell_angle_gamma 90.00
loop_
_atom_site_label
_atom_site_type_symbol
_atom_site_fract_x
_atom_site_fract_y
_atom_site_fract_z
Co1 Co 0.000 0.000 0.000
Cu1 Cu 0.125 0.125 0.625
Ir1 Ir 0.250 0.250 0.250
```

Computed properties:
DFT formation energy ... 25.29 kJ per mole of atoms
Mass density ... 11.28 Mg/m³
Total magnetization ... 0.372 μB per atom

---

Entry 7:
Density functional theory data (PBE-GGA) for CoCuIr2 after structural relaxation.

```
data_CoCuIr2
_chemical_formula_sum 'Co4 Cu4 Ir8'
_space_group_name_H-M_alt 'F m -3 m'
_space_group_IT_number 225
_space_group_name_Hall '-F 4 2 3'
_cell_length_a 5.937
_cell_length_b 5.937
_cell_length_c 5.937
_cell_angle_alpha 90.00
_cell_angle_beta 90.00
_cell_angle_gamma 90.00
loop_
_atom_site_label
_atom_site_type_symbol
_atom_site_fract_x
_atom_site_fract_y
_atom_site_fract_z
Co1 Co 0.000 0.000 0.000
Cu1 Cu 0.000 0.000 0.500
Ir1 Ir 0.250 0.250 0.250
```

Computed properties:
DFT formation energy ... 24.72 kJ per mole of atoms
Mass density ... 16.09 Mg/m³
Total magnetization ... 0.505 μB per atom

---

Entry 8:
Density functional theory data (PBE-GGA) for CoCuIr2 after structural relaxation.

```
data_CoCuIr2
_chemical_formula_sum 'Co4 Cu4 Ir8'
_space_group_name_H-M_alt 'F -4 3 m'
_space_group_IT_number 216
_space_group_name_Hall 'F -4 2 3'
_cell_length_a 5.996
_cell_length_b 5.996
_cell_length_c 5.996
_cell_angle_alpha 90.00
_cell_angle_beta 90.00
_cell_angle_gamma 90.00
loop_
_atom_site_label
_atom_site_type_symbol
_atom_site_fract_x
_atom_site_fract_y
_atom_site_fract_z
Co1 Co 0.000 0.000 0.000
Cu1 Cu 0.250 0.250 0.250
Ir1 Ir 0.000 0.000 0.500
Ir2 Ir 0.250 0.250 0.750
```

Computed properties:
DFT formation energy ... 31.13 kJ per mole of atoms
Mass density ... 15.62 Mg/m³
Total magnetization ... 0.471 μB per atom

---

Entry 9:
Density functional theory data (PBE-GGA) for CoCu2Ir after structural relaxation.

```
data_CoCu2Ir
_chemical_formula_sum 'Co2 Cu4 Ir2'
_space_group_name_H-M_alt 'C 1 2/m 1'
_space_group_IT_number 12
_cell_length_a 8.726
_cell_length_b 2.619
_cell_length_c 4.441
_cell_angle_alpha 90.00
_cell_angle_beta 100.77
_cell_angle_gamma 90.00
loop_
_space_group_symop_operation_xyz
'x,y,z'
'-x,-y,-z'
'-x,y,-z'
'x,-y,z'
'x+1/2,y+1/2,z'
'-x+1/2,-y+1/2,-z'
'-x+1/2,y+1/2,-z'
'x+1/2,-y+1/2,z'
loop_
_atom_site_label
_atom_site_type_symbol
_atom_site_fract_x
_atom_site_fract_y
_atom_site_fract_z
Co1 Co 0.000 0.000 0.000
Cu1 Cu 0.248 0.500 0.245
Ir1 Ir 0.000 0.500 0.500
```

Computed properties:
DFT formation energy ... 11.42 kJ per mole of atoms
Mass density ... 12.60 Mg/m³
Total magnetization ... 0.403 μB per atom

---

Entry 10:
Density functional theory data (PBE-GGA) for Co2CuIr after structural relaxation.

```
data_Co2CuIr
_chemical_formula_sum 'Co6 Cu3 Ir3'
_space_group_name_H-M_alt 'R 3 m'
_space_group_IT_number 160
_space_group_name_Hall 'R 3 -2"'
_cell_length_a 2.6160
_cell_length_b 2.6160
_cell_length_c 25.1433
_cell_angle_alpha 90.00
_cell_angle_beta 90.00
_cell_angle_gamma 120.00
loop_
_atom_site_label
_atom_site_type_symbol
_atom_site_fract_x
_atom_site_fract_y
_atom_site_fract_z
Co1 Co 0.0000 0.0000 0.0000
Co2 Co 0.0000 0.0000 0.2568
Cu1 Cu 0.0000 0.0000 0.5078
Ir1 Ir 0.0000 0.0000 0.7519
```

Computed properties:
DFT formation energy ... 10.22 kJ per mole of atoms
Mass density ... 12.49 Mg/m³
Total magnetization ... 0.860 μB per atom

---

Entry 11:
Density functional theory data (PBE-GGA) for CoCu2Ir after structural relaxation.

```
data_CoCu2Ir
_chemical_formula_sum 'Co2 Cu4 Ir2'
_space_group_name_H-M_alt 'I 4/m m m'
_space_group_IT_number 139
_space_group_name_Hall '-I 4 2'
_cell_length_a 3.613
_cell_length_b 3.613
_cell_length_c 7.677
_cell_angle_alpha 90.00
_cell_angle_beta 90.00
_cell_angle_gamma 90.00
loop_
_atom_site_label
_atom_site_type_symbol
_atom_site_fract_x
_atom_site_fract_y
_atom_site_fract_z
Co1 Co 0.000 0.000 0.000
Cu1 Cu 0.000 0.500 0.250
Ir1 Ir 0.000 0.000 0.500
```

Computed properties:
DFT formation energy ... 17.71 kJ per mole of atoms
Mass density ... 12.53 Mg/m³
Total magnetization ... 0.613 μB per atom

---

Entry 12:
Density functional theory data (PBE-GGA) for Co2CuIr after structural relaxation.

```
data_Co2CuIr
_chemical_formula_sum 'Co2 Cu1 Ir1'
_space_group_name_H-M_alt 'P m m 2'
_space_group_IT_number 25
_cell_length_a 2.621
_cell_length_b 4.193
_cell_length_c 4.466
_cell_angle_alpha 90.00
_cell_angle_beta 90.00
_cell_angle_gamma 90.00
loop_
_space_group_symop_operation_xyz
'x,y,z'
'-x,-y,z'
'-x,y,z'
'x,-y,z'
loop_
_atom_site_label
_atom_site_type_symbol
_atom_site_fract_x
_atom_site_fract_y
_atom_site_fract_z
Co1 Co 0.000 0.000 0.000
Co2 Co 0.000 0.500 0.331
Cu1 Cu 0.500 0.500 0.843
Ir1 Ir 0.500 0.000 0.499
```

Computed properties:
DFT formation energy ... 8.73 kJ per mole of atoms
Mass density ... 12.64 Mg/m³
Total magnetization ... 0.946 μB per atom

---

Entry 13:
Density functional theory data (PBE-GGA) for CoCuIr2 after structural relaxation.

```
data_CoCuIr2
_chemical_formula_sum 'Co1 Cu1 Ir2'
_space_group_name_H-M_alt 'P m m 2'
_space_group_IT_number 25
_cell_length_a 2.694
_cell_length_b 3.738
_cell_length_c 5.212
_cell_angle_alpha 90.00
_cell_angle_beta 90.00
_cell_angle_gamma 90.00
loop_
_space_group_symop_operation_xyz
'x,y,z'
'-x,-y,z'
'-x,y,z'
'x,-y,z'
loop_
_atom_site_label
_atom_site_type_symbol
_atom_site_fract_x
_atom_site_fract_y
_atom_site_fract_z
Co1 Co 0.000 0.000 0.000
Cu1 Cu 0.500 0.500 0.240
Ir1 Ir 0.000 0.000 0.496
Ir2 Ir 0.500 0.500 0.753
```

Computed properties:
DFT formation energy ... 10.49 kJ per mole of atoms
Mass density ... 16.04 Mg/m³
Total magnetization ... 0.312 μB per atom

---

Entry 14:
Density functional theory data (PBE-GGA) for Co2CuIr after structural relaxation.

```
data_Co2CuIr
_chemical_formula_sum 'Co8 Cu4 Ir4'
_space_group_name_H-M_alt 'I -4 2 d'
_space_group_IT_number 122
_space_group_name_Hall 'I -4 2bw'
_cell_length_a 6.594
_cell_length_b 6.594
_cell_length_c 4.995
_cell_angle_alpha 90.00
_cell_angle_beta 90.00
_cell_angle_gamma 90.00
loop_
_atom_site_label
_atom_site_type_symbol
_atom_site_fract_x
_atom_site_fract_y
_atom_site_fract_z
Co1 Co 0.246 0.250 0.125
Cu1 Cu 0.000 0.000 0.500
Ir1 Ir 0.000 0.000 0.000
```

Computed properties:
DFT formation energy ... 60.60 kJ per mole of atoms
Mass density ... 11.43 Mg/m³
Total magnetization ... 1.079 μB per atom

---

Entry 15:
Density functional theory data (PBE-GGA) for CoCu2Ir after structural relaxation.

```
data_CoCu2Ir
_chemical_formula_sum 'Co2 Cu4 Ir2'
_space_group_name_H-M_alt 'I -4 m 2'
_space_group_IT_number 119
_space_group_name_Hall 'I -4 -2'
_cell_length_a 3.737
_cell_length_b 3.737
_cell_length_c 7.166
_cell_angle_alpha 90.00
_cell_angle_beta 90.00
_cell_angle_gamma 90.00
loop_
_atom_site_label
_atom_site_type_symbol
_atom_site_fract_x
_atom_site_fract_y
_atom_site_fract_z
Co1 Co 0.000 0.000 0.000
Cu1 Cu 0.000 0.000 0.500
Cu2 Cu 0.000 0.500 0.750
Ir1 Ir 0.000 0.500 0.250
```

Computed properties:
DFT formation energy ... 13.22 kJ per mole of atoms
Mass density ... 12.55 Mg/m³
Total magnetization ... 0.643 μB per atom